1.
Pu3Co2Ge4: relaxed, PBE-GGA.

abc: 4.1541 5.8081 7.9699
angles: 105.62 90.00 110.95
Closest atoms and distances in Å follow each position.
Atoms (fractional coordinates):
Pu1 0.6088 0.2176 0.6895  4 Co 2.95-3.24, 7 Ge 3.02-3.12, 1 Pu 3.25
Pu2 0.0000 0.0000 0.0000  8 Ge 3.03-3.33
Pu3 0.3912 0.7824 0.3105  4 Co 2.95-3.24, 7 Ge 3.02-3.12, 1 Pu 3.25
Co1 0.6998 0.3995 0.3744  4 Ge 2.35-2.38
Co2 0.3002 0.6005 0.6256  4 Ge 2.35-2.38
Ge1 0.7161 0.4323 0.0835  1 Co 2.38
Ge2 0.2839 0.5677 0.9165  1 Co 2.38
Ge3 0.8951 0.7902 0.6040  3 Co 2.35-2.37
Ge4 0.1049 0.2098 0.3960  3 Co 2.35-2.37

=====

2.
PuCo6Ge4: relaxed, PBE-GGA.

abc: 3.7056 6.8023 6.8023
angles: 120.00 90.00 90.00
Closest atoms and distances in Å follow each position.
Atoms (fractional coordinates):
Pu1 0.0000 0.0000 0.0000  6 Ge 2.96, 6 Co 3.05
Co1 0.0000 0.5345 0.0691  5 Ge 2.37-2.44
Co2 0.5000 0.5891 0.7945  4 Ge 2.37-2.39, 2 Co 2.61
Co3 0.0000 0.5345 0.4655  5 Ge 2.37-2.44
Co4 0.0000 0.9309 0.4655  5 Ge 2.37-2.44
Co5 0.5000 0.2055 0.7945  4 Ge 2.37-2.39, 2 Co 2.61
Co6 0.5000 0.2055 0.4109  4 Ge 2.37-2.39, 2 Co 2.61
Ge1 0.5000 0.8040 0.6081  6 Co 2.37-2.44
Ge2 0.5000 0.3919 0.1960  6 Co 2.37-2.44
Ge3 0.5000 0.8040 0.1960  6 Co 2.37-2.44
Ge4 0.0000 0.3333 0.6667  9 Co 2.37-2.39

=====

DOS at the Fermi energy values, unit states/eV/atom, following the record order: 3.21; 1.80.
DFT formation energy values, unit eV/atom, following the record order: -0.424; -0.277.
Total energy values, unit Ry/atom, following the record order: -0.6492; -0.5244.